Entry 1:
A plane-wave DFT calculation with GGA-PBE was carried out for a relaxed Hf2ThPb crystal.

a = 4.8306 Å, b = 4.8306 Å, c = 4.2650 Å
α = 90.00°, β = 90.00°, γ = 90.00°
Space group P4/mmm (No. 123)
Inequivalent atoms, fractional coordinates:
Hf (0.0000, 0.5000, 0.0000) x2
Th (0.0000, 0.0000, 0.5000) x1
Pb (0.5000, 0.5000, 0.5000) x1

The calculation puts the energy relative to the lowest polymorph listed for this composition at 0 meV/atom. As for the total energy: -31.0 eV/cell. The energy relative to the elements is 8 meV per atom.

Entry 2:
A plane-wave DFT calculation with GGA-PBE was carried out for a relaxed HfTh2Pb crystal.

a = 3.4134 Å, b = 3.4134 Å, c = 36.3254 Å
α = 90.00°, β = 90.00°, γ = 120.00°
Space group R-3m (No. 166, hexagonal axes)
Inequivalent atoms, fractional coordinates:
Hf (0.0000, 0.0000, 0.0000) x3
Th (0.0000, 0.0000, 0.4078) x6
Pb (0.0000, 0.0000, 0.5000) x3

The calculation puts the energy relative to the lowest polymorph listed for this composition at 294 meV/atom. As for the total energy: -82.7 eV/cell. The energy relative to the elements is 237 meV per atom.

Entry 3:
A plane-wave DFT calculation with GGA-PBE was carried out for a relaxed HfTh2Pb crystal.

a = 4.1305 Å, b = 4.1305 Å, c = 6.8679 Å
α = 90.00°, β = 90.00°, γ = 90.00°
Space group P4/mmm (No. 123)
Inequivalent atoms, fractional coordinates:
Hf (0.0000, 0.0000, 0.0000) x1
Th (0.5000, 0.5000, 0.2563) x2
Pb (0.0000, 0.0000, 0.5000) x1

The calculation puts the energy relative to the lowest polymorph listed for this composition at 107 meV/atom. As for the total energy: -28.3 eV/cell. The energy relative to the elements is 50 meV per atom.

Entry 4:
A plane-wave DFT calculation with GGA-PBE was carried out for a relaxed HfTh3Pb5 crystal.

a = 9.6541 Å, b = 9.6541 Å, c = 6.4128 Å
α = 90.00°, β = 90.00°, γ = 120.00°
Space group P6_3/mcm (No. 193)
Inequivalent atoms, fractional coordinates:
Hf (0.0000, 0.0000, 0.0000) x2
Th (0.0000, 0.3836, 0.2500) x6
Pb (0.0000, 0.2676, 0.7500) x6
Pb (0.3333, 0.6667, 0.0000) x4

As for the total energy: -106.8 eV/cell. The energy relative to the elements is -295 meV per atom.

Q: Which value of energy relative to the elements does entry 4 give?
A: -295 meV per atom